# Na4CO4 | Alexandria via LeMat-Bulk | GGA-PBEsol | relaxed
# crystal system: monoclinic
# raw formation energy: -1.45 eV per atom
# theoretical density: 2.4 g/cm³
data_Na4CO4
_cell_length_a 5.235
_cell_length_b 5.235
_cell_length_c 5.408
_cell_angle_alpha 67.21
_cell_angle_beta 67.21
_cell_angle_gamma 60.34
_space_group_name_H-M_alt 'P 1'
_space_group_IT_number 1
loop_
_space_group_symop_operation_xyz
'x,y,z'
loop_
_atom_site_label
_atom_site_type_symbol
_atom_site_fract_x
_atom_site_fract_y
_atom_site_fract_z
Na1 Na 0.744 0.936 0.534
Na2 Na 0.064 0.256 0.466
Na3 Na 0.489 0.776 0.116
Na4 Na 0.224 0.511 0.884
C1 C 0.775 0.225 0.000
O1 O 0.845 0.989 0.887
O2 O 0.011 0.155 0.113
O3 O 0.731 0.500 0.788
O4 O 0.500 0.269 0.212

***

# NaP2CO | Alexandria via LeMat-Bulk | GGA-PBEsol | relaxed
# crystal system: tetragonal
# raw formation energy: 0.85 eV per atom
# theoretical density: 2.8 g/cm³
data_NaP2CO
_cell_length_a 3.733
_cell_length_b 3.733
_cell_length_c 4.773
_cell_angle_alpha 90.00
_cell_angle_beta 90.00
_cell_angle_gamma 90.00
_space_group_name_H-M_alt 'P 1'
_space_group_IT_number 1
loop_
_space_group_symop_operation_xyz
'x,y,z'
loop_
_atom_site_label
_atom_site_type_symbol
_atom_site_fract_x
_atom_site_fract_y
_atom_site_fract_z
P1 P 0.000 0.500 0.000
P2 P 0.500 0.000 0.000
C1 C 0.000 0.000 0.000
O1 O 0.000 0.000 0.500
Na1 Na 0.500 0.500 0.500

***

# NaPCO2 | Alexandria via LeMat-Bulk | GGA-PBEsol | relaxed
# crystal system: tetragonal
# raw formation energy: 0.63 eV per atom
# theoretical density: 2.1 g/cm³
data_NaPCO2
_cell_length_a 3.352
_cell_length_b 3.352
_cell_length_c 6.861
_cell_angle_alpha 90.00
_cell_angle_beta 90.00
_cell_angle_gamma 90.00
_space_group_name_H-M_alt 'P 1'
_space_group_IT_number 1
loop_
_space_group_symop_operation_xyz
'x,y,z'
loop_
_atom_site_label
_atom_site_type_symbol
_atom_site_fract_x
_atom_site_fract_y
_atom_site_fract_z
P1 P 0.000 0.000 0.000
C1 C 0.500 0.500 0.500
O1 O 0.000 0.500 0.000
O2 O 0.500 0.000 0.000
Na1 Na 0.000 0.000 0.500

***

# Na2PRuCO7 | Alexandria via LeMat-Bulk | GGA-PBEsol | relaxed
# crystal system: monoclinic
# raw formation energy: -1.67 eV per atom
# theoretical density: 3.4 g/cm³
data_Na2PRuCO7
_cell_length_a 5.134
_cell_length_b 6.462
_cell_length_c 9.027
_cell_angle_alpha 90.00
_cell_angle_beta 92.45
_cell_angle_gamma 90.00
_space_group_name_H-M_alt 'P 1'
_space_group_IT_number 1
loop_
_space_group_symop_operation_xyz
'x,y,z'
loop_
_atom_site_label
_atom_site_type_symbol
_atom_site_fract_x
_atom_site_fract_y
_atom_site_fract_z
Na1 Na 0.244 0.990 0.759
Na2 Na 0.244 0.510 0.759
Na3 Na 0.756 0.490 0.241
Na4 Na 0.756 0.010 0.241
P1 P 0.711 0.750 0.580
P2 P 0.289 0.250 0.420
Ru1 Ru 0.789 0.250 0.657
Ru2 Ru 0.211 0.750 0.343
C1 C 0.718 0.250 0.927
C2 C 0.282 0.750 0.073
O1 O 0.318 0.750 0.938
O2 O 0.948 0.250 0.866
O3 O 0.528 0.250 0.822
O4 O 0.797 0.940 0.676
O5 O 0.797 0.560 0.676
O6 O 0.155 0.250 0.570
O7 O 0.409 0.750 0.554
O8 O 0.591 0.250 0.446
O9 O 0.845 0.750 0.430
O10 O 0.203 0.440 0.324
O11 O 0.203 0.060 0.324
O12 O 0.472 0.750 0.178
O13 O 0.052 0.750 0.134
O14 O 0.682 0.250 0.062

***

# Na2ScPCO7 | Alexandria via LeMat-Bulk | GGA-PBEsol | relaxed
# crystal system: monoclinic
# raw formation energy: -2.35 eV per atom
# theoretical density: 2.6 g/cm³
data_Na2ScPCO7
_cell_length_a 5.267
_cell_length_b 6.676
_cell_length_c 9.040
_cell_angle_alpha 90.00
_cell_angle_beta 89.62
_cell_angle_gamma 90.00
_space_group_name_H-M_alt 'P 1'
_space_group_IT_number 1
loop_
_space_group_symop_operation_xyz
'x,y,z'
loop_
_atom_site_label
_atom_site_type_symbol
_atom_site_fract_x
_atom_site_fract_y
_atom_site_fract_z
Na1 Na 0.760 0.498 0.781
Na2 Na 0.760 0.002 0.781
Na3 Na 0.240 0.502 0.219
Na4 Na 0.240 0.998 0.219
Sc1 Sc 0.211 0.750 0.638
Sc2 Sc 0.789 0.250 0.362
P1 P 0.287 0.250 0.574
P2 P 0.713 0.750 0.426
C1 C 0.269 0.750 0.920
C2 C 0.731 0.250 0.080
O1 O 0.694 0.250 0.944
O2 O 0.044 0.750 0.859
O3 O 0.457 0.750 0.822
O4 O 0.198 0.061 0.656
O5 O 0.198 0.439 0.656
O6 O 0.825 0.750 0.585
O7 O 0.583 0.250 0.560
O8 O 0.417 0.750 0.440
O9 O 0.175 0.250 0.415
O10 O 0.802 0.561 0.344
O11 O 0.802 0.939 0.344
O12 O 0.543 0.250 0.178
O13 O 0.956 0.250 0.141
O14 O 0.306 0.750 0.056

***

# Na3SnPCO7 | Alexandria via LeMat-Bulk | GGA-PBEsol | relaxed
# crystal system: monoclinic
# raw formation energy: -1.87 eV per atom
# theoretical density: 3.2 g/cm³
data_Na3SnPCO7
_cell_length_a 5.382
_cell_length_b 6.966
_cell_length_c 9.388
_cell_angle_alpha 90.00
_cell_angle_beta 85.47
_cell_angle_gamma 90.00
_space_group_name_H-M_alt 'P 1'
_space_group_IT_number 1
loop_
_space_group_symop_operation_xyz
'x,y,z'
loop_
_atom_site_label
_atom_site_type_symbol
_atom_site_fract_x
_atom_site_fract_y
_atom_site_fract_z
Na1 Na 0.218 0.250 0.088
Na2 Na 0.744 0.001 0.255
Na3 Na 0.744 0.499 0.255
Na4 Na 0.256 0.999 0.745
Na5 Na 0.256 0.501 0.745
Na6 Na 0.782 0.750 0.912
Sn1 Sn 0.228 0.750 0.369
Sn2 Sn 0.772 0.250 0.631
P1 P 0.253 0.250 0.394
P2 P 0.747 0.750 0.606
C1 C 0.254 0.750 0.060
C2 C 0.746 0.250 0.940
O1 O 0.059 0.750 0.155
O2 O 0.784 0.250 0.074
O3 O 0.476 0.750 0.103
O4 O 0.141 0.073 0.320
O5 O 0.141 0.427 0.320
O6 O 0.537 0.250 0.371
O7 O 0.829 0.750 0.441
O8 O 0.171 0.250 0.559
O9 O 0.463 0.750 0.629
O10 O 0.859 0.573 0.680
O11 O 0.859 0.927 0.680
O12 O 0.524 0.250 0.897
O13 O 0.216 0.750 0.926
O14 O 0.941 0.250 0.845

***

- Which formula does entry 6 have?
  Na3SnPCO7

***

- Number 1 is which compound?
  Na4CO4

***

- Which value of theoretical density does entry 4 give?
  3.4 g/cm³